(1)
The following is a GGA-PBE calculation of an optimized crystal structure of K2Al2Sb3, from Alexandria via LeMat-Bulk.

The structure in extended XYZ format:
```
14
Lattice="4.480 0.000 0.993 1.949 9.445 1.811 -0.112 0.613 11.106" Properties=species:S:1:pos:R:3 pbc="T T T"
Sb 3.225 7.321 6.654
Sb 1.583 4.789 3.461
Sb 2.144 9.922 11.531
Sb 4.734 5.269 10.449
Sb 4.173 0.135 2.378
Sb 3.092 2.737 7.256
K 4.921 8.641 9.605
K 4.205 6.950 2.234
K 2.112 3.107 11.676
K 1.396 1.417 4.304
Al 0.506 2.799 8.319
Al 5.811 7.259 5.591
Al 3.496 4.784 5.431
Al 2.821 5.274 8.478
```

Summary:
Polymorph energy (0 for the lowest one) (meV per atom): 66.2
Space-group type: C2/m
Uncorrected formation energy (eV per atom): -0.309



(2)
The following is a GGA-PBE calculation of an optimized crystal structure of GaGe, from Alexandria via LeMat-Bulk.

The structure in extended XYZ format:
```
32
Lattice="8.832 0.000 0.000 0.000 12.651 0.000 0.000 0.000 8.382" Properties=species:S:1:pos:R:3 pbc="T T T"
Ga 0.000 10.457 4.191
Ga 4.416 10.457 0.000
Ga 2.208 7.294 6.286
Ga 4.416 8.521 4.191
Ga 4.416 4.131 4.191
Ga 0.000 4.131 0.000
Ga 2.208 5.358 2.095
Ga 0.000 8.521 0.000
Ga 2.208 11.683 6.286
Ga 6.624 7.294 2.095
Ga 6.624 5.358 6.286
Ga 2.208 0.968 2.095
Ga 0.000 2.195 4.191
Ga 6.624 11.683 2.095
Ga 4.416 2.195 0.000
Ga 6.624 0.968 6.286
Ge 4.416 6.326 5.558
Ge 0.000 6.326 1.367
Ge 4.416 0.000 7.015
Ge 6.624 3.163 7.653
Ge 2.208 9.489 4.919
Ge 6.624 9.489 3.462
Ge 0.000 0.000 5.558
Ge 6.624 3.163 4.919
Ge 6.624 9.489 0.728
Ge 4.416 0.000 1.367
Ge 0.000 0.000 2.824
Ge 2.208 3.163 3.462
Ge 4.416 6.326 2.824
Ge 0.000 6.326 7.015
Ge 2.208 3.163 0.728
Ge 2.208 9.489 7.653
```

Summary:
Polymorph energy (0 for the lowest one) (meV per atom): 112.3
Space-group type: Fddd
Energy of formation from the pure elements (eV/f.u.): 0.52



(3)
The following is a GGA-PBE calculation of an optimized crystal structure of TlRh2W, from Alexandria via LeMat-Bulk.

The structure in extended XYZ format:
```
4
Lattice="-2.179 1.136 1.554 -1.868 -3.274 -0.227 2.664 -1.874 5.107" Properties=species:S:1:pos:R:3 pbc="T T T"
Rh 0.744 -0.523 1.426
Rh 1.920 -1.351 3.682
Tl -2.024 -1.069 0.663
W -0.692 -2.006 3.217
```

Summary:
Polymorph energy (0 for the lowest one) (meV per atom): 108.4
Space-group type: Pmmm
Energy of formation from the pure elements (eV/f.u.): 0.38



(4)
The following is a GGA-PBE calculation of an optimized crystal structure of AgAsPS2, from Alexandria via LeMat-Bulk.

The structure in extended XYZ format:
```
5
Lattice="-1.975 4.363 -0.418 -1.841 -1.242 -4.264 -3.916 -1.567 2.147" Properties=species:S:1:pos:R:3 pbc="T T T"
S -0.988 2.182 -0.209
S -0.921 -0.621 -2.132
As 0.000 0.000 0.000
P -1.958 -0.783 1.073
Ag -3.866 0.777 -1.268
```

Summary:
Polymorph energy (0 for the lowest one) (meV per atom): 0.0
Space-group type: P4/mmm
Uncorrected formation energy (eV per atom): 0.770



(5)
The following is a GGA-PBE calculation of an optimized crystal structure of LiCr2Mo, from Alexandria via LeMat-Bulk.

The structure in extended XYZ format:
```
4
Lattice="-1.706 -2.871 3.718 4.927 0.770 -0.320 0.312 1.556 1.915" Properties=species:S:1:pos:R:3 pbc="T T T"
Mo 2.620 1.163 0.797
Cr 0.000 0.000 0.000
Cr 1.611 -1.050 1.699
Li -0.697 -0.657 2.816
```

Summary:
Polymorph energy (0 for the lowest one) (meV per atom): 109.9
Space-group type: C2/m
Energy of formation from the pure elements (eV/f.u.): 1.62



(6)
The following is a GGA-PBE calculation of an optimized crystal structure of Nd2TeAu, from Alexandria via LeMat-Bulk.

The structure in extended XYZ format:
```
4
Lattice="-2.287 0.502 -3.592 0.704 -2.562 -3.366 -5.861 -5.695 0.377" Properties=species:S:1:pos:R:3 pbc="T T T"
Te -3.737 -3.892 -3.283
Nd -4.646 -4.554 -0.238
Nd -1.744 -1.828 -1.705
Au -6.901 -7.053 -4.270
```

Summary:
Polymorph energy (0 for the lowest one) (meV per atom): 58.0
Space-group type: R3m
Uncorrected formation energy (eV per atom): -1.026



(7)
The following is a GGA-PBE calculation of an optimized crystal structure of Ba2IrOs3O12, from Alexandria via LeMat-Bulk.

The structure in extended XYZ format:
```
18
Lattice="7.109 -0.057 -0.040 3.461 6.210 -0.040 3.461 2.015 5.874" Properties=species:S:1:pos:R:3 pbc="T T T"
O 10.829 3.898 5.314
O 5.294 0.676 0.479
O 8.737 7.492 5.314
O 7.544 1.811 4.018
O 3.202 1.864 3.871
O 5.301 5.665 4.018
O 6.488 3.776 5.412
O 3.202 4.270 0.479
O 7.544 4.391 0.381
O 6.488 6.356 1.775
O 8.731 2.502 1.775
O 10.829 6.303 1.922
Ir 0.000 0.000 0.000
Os 1.731 3.105 -0.020
Os 1.731 1.007 2.937
Os 3.555 -0.029 -0.020
Ba 8.922 5.193 3.684
Ba 5.110 2.974 2.110
```

Summary:
Space-group type: R-3m
Uncorrected formation energy (eV per atom): -1.379



(8)
The following is a GGA-PBE calculation of an optimized crystal structure of ZnCdH6Ir2, from Alexandria via LeMat-Bulk.

The structure in extended XYZ format:
```
20
Lattice="-1.471 5.339 -3.646 -3.683 0.408 5.498 4.334 1.254 1.725" Properties=species:S:1:pos:R:3 pbc="T T T"
H -0.314 4.979 2.877
H -0.506 2.022 0.700
H -0.257 4.416 1.169
H 1.795 3.201 -0.249
H -2.836 2.869 2.011
H -2.614 3.801 3.826
H -1.236 0.648 2.460
H 0.416 6.354 1.118
H -2.384 4.567 1.618
H 2.016 4.133 1.566
H 1.565 2.435 1.960
H -0.563 2.586 2.409
Ir -3.674 4.100 2.672
Ir 0.204 1.196 2.044
Ir 2.855 2.902 0.906
Ir -1.023 5.806 1.533
Zn -1.035 4.210 -0.539
Zn 0.215 2.792 4.116
Cd -2.356 1.264 4.924
Cd 1.536 5.738 -1.347
```

Summary:
Space-group type: C2/c
Calculated total energy (eV per atom): -3.99



(9)
The following is a GGA-PBE calculation of an optimized crystal structure of BaRu2Se, from Alexandria via LeMat-Bulk.

The structure in extended XYZ format:
```
4
Lattice="-0.388 -3.881 4.119 -3.683 -4.214 -0.923 4.215 2.431 -2.915" Properties=species:S:1:pos:R:3 pbc="T T T"
Se -0.752 -2.915 -1.120
Ru 0.000 0.000 0.000
Ru -2.036 -4.047 1.598
Ba 0.895 -2.748 1.401
```

Summary:
Space-group type: I4/mmm
Uncorrected formation energy (eV per atom): 0.757



(10)
The following is a GGA-PBE calculation of an optimized crystal structure of LiTcP2, from Alexandria via LeMat-Bulk.

The structure in extended XYZ format:
```
4
Lattice="2.926 0.000 0.000 0.000 2.935 0.018 0.000 2.069 6.781" Properties=species:S:1:pos:R:3 pbc="T T T"
P 0.000 2.698 3.152
P 0.000 2.738 0.266
Li 1.463 3.752 5.099
Tc 1.463 1.251 1.700
```

Summary:
Polymorph energy (0 for the lowest one) (meV per atom): 0.0
Space-group type: P2/m
Energy of formation from the pure elements (eV/f.u.): -1.73



(11)
The following is a GGA-PBE calculation of an optimized crystal structure of LaCu2Re, from Alexandria via LeMat-Bulk.

The structure in extended XYZ format:
```
4
Lattice="-4.541 0.062 1.059 -3.188 -0.383 -3.381 -2.537 -3.894 -0.382" Properties=species:S:1:pos:R:3 pbc="T T T"
La -5.133 -2.108 -1.352
Re -7.699 -3.162 -2.029
Cu 0.000 0.000 0.000
Cu -2.566 -1.054 -0.676
```

Summary:
Polymorph energy (0 for the lowest one) (meV per atom): 326.8
Space-group type: F-43m
Energy of formation from the pure elements (eV/f.u.): 2.78



(12)
The following is a GGA-PBE calculation of an optimized crystal structure of V3Cr2W6, from Alexandria via LeMat-Bulk.

The structure in extended XYZ format:
```
11
Lattice="-2.492 2.515 2.507 -2.005 -1.800 -0.187 7.316 -6.536 10.077" Properties=species:S:1:pos:R:3 pbc="T T T"
V 0.000 0.000 0.000
V 0.368 -3.517 3.895
V 2.451 -2.304 8.502
W 2.665 -4.101 10.518
W 0.234 -2.275 6.269
W 0.038 -0.454 4.246
W 2.782 -5.368 8.151
W 0.154 -1.720 1.879
W 2.585 -3.547 6.128
Cr -2.174 -0.457 2.051
Cr 4.993 -5.364 10.345
```

Summary:
Space-group type: C2/m
Energy of formation from the pure elements (eV/f.u.): -0.41